Record 1
CsKOsO4: optimized geometry, PBE.

Cell: 7.0148 7.0148 7.0148 Å, 60.00 60.00 60.00°
Site moments in Bohr magnetons follow the coordinates.
Fractional coordinates of all 7 atoms:
1 Cs 0.7500 0.7500 0.7500  0.00
2 O 0.9340 0.3553 0.3553  0.15
3 Os 0.2500 0.2500 0.2500  1.11
4 O 0.3553 0.3553 0.3553  0.15
5 K 0.5000 0.5000 0.5000  0.01
6 O 0.3553 0.9340 0.3553  0.15
7 O 0.3553 0.3553 0.9340  0.15

Properties
uncorrected energy = -5.9547 eV per atom
formation energy (no corrections) = -1.238 eV per atom
spin magnetization = 0.286 μB per atom



Record 2
Cs2K2OsO4: optimized geometry, PBE.

Cell: 6.4116 6.4116 6.4116 Å, 91.18 119.32 119.32°
Site moments in Bohr magnetons follow the coordinates.
Fractional coordinates of all 9 atoms:
1 O 0.4209 0.2104 0.2104  0.14
2 K 0.0000 0.6510 0.6510  0.00
3 O 0.0000 0.7896 0.2104  0.14
4 O 0.0000 0.2104 0.7896  0.14
5 Cs 0.5000 0.7500 0.2500  0.00
6 O 0.5791 0.7896 0.7896  0.14
7 K 0.0000 0.3490 0.3490  0.00
8 Os 0.0000 0.0000 0.0000  1.23
9 Cs 0.5000 0.2500 0.7500  0.00

Properties
uncorrected energy = -4.9641 eV per atom
formation energy (no corrections) = -1.079 eV per atom
spin magnetization = 0.222 μB per atom



Record 3
Cs3KOs2O9: optimized geometry, PBE.

Cell: 6.0443 6.0443 7.9217 Å, 90.00 90.00 120.00°
Fractional coordinates of all 15 atoms:
1 O 0.0000 0.5000 0.0000
2 Os 0.3333 0.6667 0.1454
3 O 0.1887 0.3774 0.2727
4 Cs 0.6667 0.3333 0.3359
5 O 0.3774 0.1887 0.7273
6 O 0.1887 0.8113 0.2727
7 O 0.5000 0.5000 0.0000
8 Os 0.6667 0.3333 0.8546
9 K 0.0000 0.0000 0.5000
10 O 0.8113 0.6226 0.7273
11 O 0.8113 0.1887 0.7273
12 Cs 0.0000 0.0000 0.0000
13 Cs 0.3333 0.6667 0.6641
14 O 0.6226 0.8113 0.2727
15 O 0.5000 0.0000 0.0000

Properties
uncorrected energy = -5.9799 eV per atom
formation energy (no corrections) = -1.264 eV per atom
spin magnetization = 0.000 μB per atom



Record 4
Cs3K2OsO6: optimized geometry, PBE.

Cell: 6.6307 6.6307 6.7565 Å, 99.04 99.04 120.10°
Site moments in Bohr magnetons follow the coordinates.
Fractional coordinates of all 12 atoms:
1 O 0.8202 0.8202 0.1802  0.04
2 O 0.2968 0.0588 0.1704  0.04
3 Cs 0.5000 0.5000 0.5000  0.00
4 O 0.0588 0.2968 0.1704  0.04
5 Cs 0.1684 0.8316 0.5000  0.00
6 O 0.7032 0.9412 0.8296  0.04
7 O 0.9412 0.7032 0.8296  0.04
8 Cs 0.8316 0.1684 0.5000  0.00
9 K 0.6664 0.3336 0.0000  0.00
10 Os 0.0000 0.0000 0.0000  0.65
11 O 0.1798 0.1798 0.8198  0.04
12 K 0.3336 0.6664 0.0000  0.00

Properties
uncorrected energy = -5.1320 eV per atom
formation energy (no corrections) = -1.321 eV per atom
spin magnetization = 0.087 μB per atom



Record 5
Cs2K2OsO6: optimized geometry, PBE.

Cell: 6.3357 6.3357 6.8865 Å, 99.37 99.37 116.51°
Fractional coordinates of all 11 atoms:
1 O 0.8258 0.8258 0.6722
2 K 0.3430 0.6570 0.5000
3 Os 0.0000 0.0000 0.5000
4 O 0.7048 0.9526 0.3365
5 O 0.0474 0.2952 0.6635
6 O 0.9526 0.7048 0.3365
7 Cs 0.1752 0.8248 0.0000
8 O 0.2952 0.0474 0.6635
9 O 0.1742 0.1742 0.3278
10 Cs 0.8248 0.1752 0.0000
11 K 0.6570 0.3430 0.5000

Properties
uncorrected energy = -5.4504 eV per atom
formation energy (no corrections) = -1.370 eV per atom
spin magnetization = 0.015 μB per atom



Record 6
Cs2KOs3O12: optimized geometry, PBE.

Cell: 7.6517 7.6517 7.6517 Å, 57.74 57.74 57.74°
Fractional coordinates of all 18 atoms:
1 K 0.0000 0.0000 0.0000
2 O 0.1020 0.7222 0.7222
3 O 0.2778 0.8980 0.2778
4 Cs 0.6087 0.6087 0.6087
5 O 0.4639 0.8797 0.8797
6 O 0.7222 0.1020 0.7222
7 Os 0.0000 0.5000 0.0000
8 O 0.5361 0.1203 0.1203
9 O 0.8797 0.4639 0.8797
10 O 0.7222 0.7222 0.1020
11 O 0.2778 0.2778 0.8980
12 Cs 0.3913 0.3913 0.3913
13 O 0.8797 0.8797 0.4639
14 Os 0.5000 0.0000 0.0000
15 Os 0.0000 0.0000 0.5000
16 O 0.1203 0.1203 0.5361
17 O 0.8980 0.2778 0.2778
18 O 0.1203 0.5361 0.1203

Properties
uncorrected energy = -6.5656 eV per atom
formation energy (no corrections) = -1.233 eV per atom
spin magnetization = 0.000 μB per atom



Record 7
Cs2KOsO6: optimized geometry, PBE.

Cell: 6.7107 6.6142 6.6142 Å, 120.00 90.00 90.00°
Site moments in Bohr magnetons follow the coordinates.
Fractional coordinates of all 10 atoms:
1 Cs 0.8620 0.6667 0.3333  0.00
2 O 0.8379 0.7341 0.8670  0.16
3 Os 0.0000 0.0000 0.0000  -0.11
4 O 0.8379 0.1330 0.2659  0.16
5 Cs 0.1380 0.3333 0.6667  0.00
6 O 0.1621 0.8670 0.7341  0.16
7 O 0.1621 0.2659 0.1330  0.16
8 O 0.1621 0.8670 0.1330  0.16
9 K 0.5000 0.0000 0.0000  0.00
10 O 0.8379 0.1330 0.8670  0.16

Properties
uncorrected energy = -5.5788 eV per atom
formation energy (no corrections) = -1.200 eV per atom
spin magnetization = 0.105 μB per atom



Record 8
CsKOs2O8: optimized geometry, PBE.

Cell: 6.3072 6.3072 8.9318 Å, 90.00 90.00 120.00°
Site moments in Bohr magnetons follow the coordinates.
Fractional coordinates of all 12 atoms:
1 Os 0.6667 0.3333 0.2247  0.53
2 O 0.1746 0.3606 0.7117  0.09
3 O 0.1860 0.8254 0.7117  0.09
4 O 0.3606 0.1860 0.2883  0.09
5 O 0.8140 0.1746 0.2883  0.09
6 K 0.0000 0.0000 0.5000  0.00
7 Os 0.3333 0.6667 0.7753  0.53
8 O 0.6394 0.8140 0.7117  0.09
9 Cs 0.0000 0.0000 0.0000  0.00
10 O 0.6667 0.3333 0.0271  0.10
11 O 0.8254 0.6394 0.2883  0.09
12 O 0.3333 0.6667 0.9729  0.10

Properties
uncorrected energy = -6.6145 eV per atom
formation energy (no corrections) = -1.275 eV per atom
spin magnetization = 0.168 μB per atom



Record 9
CsKPO2: optimized geometry, PBE.

Cell: 4.7458 4.7458 5.6744 Å, 90.00 90.00 90.00°
Site moments in Bohr magnetons follow the coordinates.
Fractional coordinates of all 5 atoms:
1 O 0.5000 0.0000 0.0000  0.20
2 P 0.0000 0.0000 0.5000  0.57
3 Cs 0.0000 0.0000 0.0000  -0.01
4 O 0.0000 0.5000 0.0000  0.20
5 K 0.5000 0.5000 0.5000  0.02

Properties
uncorrected energy = -2.9049 eV per atom
formation energy (no corrections) = 0.551 eV per atom
spin magnetization = 0.363 μB per atom



Record 10
CsK2PO4: optimized geometry, PBE.

Cell: 7.3346 7.3346 8.5527 Å, 125.66 125.66 71.70°
Fractional coordinates of all 16 atoms:
1 O 0.4999 0.4999 0.6922
2 O 0.0001 0.0001 0.8078
3 O 0.5001 0.5001 0.3078
4 K 0.5000 0.0000 0.5000
5 Cs 0.0000 0.5000 0.5000
6 O 0.9999 0.9999 0.1922
7 P 0.0000 0.0000 0.0000
8 O 0.2120 0.8310 0.0215
9 K 0.5000 0.0000 0.0000
10 P 0.5000 0.5000 0.5000
11 K 0.0000 0.0000 0.5000
12 Cs 0.0000 0.5000 0.0000
13 O 0.7880 0.1690 0.9785
14 O 0.3310 0.7120 0.5215
15 O 0.6690 0.2880 0.4785
16 K 0.5000 0.5000 0.0000

Properties
uncorrected energy = -5.0905 eV per atom
formation energy (no corrections) = -1.554 eV per atom
spin magnetization = 0.000 μB per atom



Record 11
Cs2KPO4: optimized geometry, PBE.

Cell: 6.1707 6.4800 13.2119 Å, 83.62 76.50 61.57°
Fractional coordinates of all 16 atoms:
1 K 0.7500 0.5000 0.5000
2 P 0.5000 0.0000 0.0000
3 Cs 0.8118 0.0000 0.3765
4 K 0.0000 0.0000 0.0000
5 O 0.4430 0.3366 0.5691
6 O 0.7622 0.8366 0.9309
7 Cs 0.1882 0.0000 0.6235
8 Cs 0.9382 0.5000 0.1235
9 O 0.4013 0.8366 0.0691
10 O 0.3070 0.1634 0.9309
11 O 0.2204 0.3366 0.4309
12 O 0.3487 0.6634 0.4309
13 O 0.9878 0.6634 0.5691
14 P 0.2500 0.5000 0.5000
15 Cs 0.5618 0.5000 0.8765
16 O 0.5296 0.1634 0.0691

Properties
uncorrected energy = -5.4675 eV per atom
formation energy (no corrections) = -1.962 eV per atom
spin magnetization = 0.019 μB per atom



Record 12
Cs3KP2O6: optimized geometry, PBE.

Cell: 6.4353 6.4353 7.8919 Å, 90.00 90.00 120.00°
Site moments in Bohr magnetons follow the coordinates.
Fractional coordinates of all 12 atoms:
1 O 0.1991 0.3982 0.2851  0.11
2 O 0.6018 0.8009 0.2851  0.11
3 O 0.8009 0.6018 0.7149  0.11
4 K 0.0000 0.0000 0.5000  0.01
5 Cs 0.3333 0.6667 0.6889  0.01
6 P 0.3333 0.6667 0.2324  0.18
7 P 0.6667 0.3333 0.7676  0.18
8 Cs 0.6667 0.3333 0.3111  0.01
9 O 0.3982 0.1991 0.7149  0.11
10 O 0.1991 0.8009 0.2851  0.11
11 Cs 0.0000 0.0000 0.0000  0.00
12 O 0.8009 0.1991 0.7149  0.11

Properties
uncorrected energy = -5.6344 eV per atom
formation energy (no corrections) = -1.949 eV per atom
spin magnetization = 0.167 μB per atom